(1)
4
Lattice="2.890 0.000 0.000 0.000 2.890 0.000 0.000 0.000 9.855" Properties=species:S:1:pos:R:3 comment="PBE Li2LaW, optimized geometry" formation_energy_ev_per_atom=0.50 polymorph_energy_ev_per_atom=0.0000 pbc="T T T"
Li 0.000 0.000 0.000
Li 1.445 1.445 2.239
La 1.445 1.445 6.839
W 0.000 0.000 4.281



(2)
5
Lattice="4.119 0.000 0.000 0.000 4.119 0.000 0.000 0.000 5.754" Properties=species:S:1:pos:R:3 comment="PBE ScTeSeF2, optimized geometry" e_form_raw_mev_per_atom=-2219 pbc="T T T"
Sc 0.000 0.000 0.000
Te 2.059 2.059 2.877
Se 0.000 0.000 2.877
F 0.000 2.059 0.000
F 2.059 0.000 0.000



(3)
3
Lattice="2.999 0.000 0.000 -1.499 2.597 0.000 0.000 0.000 4.812" Properties=species:S:1:pos:R:3 comment="PBE AgHPt, optimized geometry" polymorph_energy_ev_per_atom=0.0000 pbc="T T T"
Ag 0.000 0.000 0.000
H 1.499 0.866 1.991
Pt 0.000 1.731 2.466



(4)
8
Lattice="-3.817 3.817 3.823 3.817 -3.817 3.823 3.817 3.817 -3.823" Properties=species:S:1:pos:R:3 comment="PBE LiBiBr2, optimized geometry" e_form_raw_mev_per_atom=-558 polymorph_energy_ev_per_atom=0.2009 pbc="T T T"
Li 0.000 0.000 0.000
Li 0.000 3.817 1.912
Bi 3.817 0.000 1.912
Bi 0.000 0.000 3.823
Br 5.725 1.524 -0.956
Br 1.524 1.908 0.956
Br -1.908 2.293 2.867
Br 2.293 1.908 4.779



(5)
3
Lattice="-1.591 1.591 4.716 1.591 -1.591 4.716 1.591 1.591 -4.716" Properties=species:S:1:pos:R:3 comment="PBE LiRuSe, optimized geometry" e_form_raw_mev_per_atom=-205 polymorph_energy_ev_per_atom=0.2126 pbc="T T T"
Li 0.000 0.000 0.000
Ru 0.000 0.000 6.566
Se 0.000 0.000 2.910



(6)
10
Lattice="4.650 0.000 0.000 0.000 4.650 0.000 0.000 0.000 11.067" Properties=species:S:1:pos:R:3 comment="PBE La2Sn4HgPd3, optimized geometry" formation_energy_ev_per_atom=-0.71 pbc="T T T"
La 0.000 2.325 2.756
La 2.325 0.000 8.310
Sn 0.000 0.000 0.000
Sn 0.000 2.325 7.105
Sn 2.325 0.000 3.962
Sn 2.325 2.325 0.000
Hg 0.000 0.000 5.533
Pd 0.000 2.325 9.708
Pd 2.325 0.000 1.359
Pd 2.325 2.325 5.533



(7)
18
Lattice="4.804 0.000 0.000 0.000 4.804 0.000 0.000 0.000 9.234" Properties=species:S:1:pos:R:3 comment="PBE LiHfIO6, optimized geometry" e_form_raw_mev_per_atom=-1660 pbc="T T T"
Li 0.000 0.000 0.000
Li 2.402 2.402 4.617
Hf 0.000 0.000 6.204
Hf 2.402 2.402 1.587
I 0.000 0.000 3.039
I 2.402 2.402 7.656
O 0.883 0.883 4.471
O 0.919 0.919 1.664
O 1.054 1.054 7.596
O 1.348 3.457 2.979
O 1.484 3.321 6.281
O 1.520 3.285 9.088
O 3.285 1.520 9.088
O 3.321 1.484 6.281
O 3.457 1.348 2.979
O 3.750 3.750 7.596
O 3.886 3.886 1.664
O 3.922 3.922 4.471



(8)
5
Lattice="4.834 0.000 0.000 0.000 4.834 0.000 0.000 0.000 3.733" Properties=species:S:1:pos:R:3 comment="PBE NaTa2GaN, optimized geometry" e_form_raw_mev_per_atom=2293 pbc="T T T"
Na 0.000 0.000 0.000
Ta 0.000 2.417 0.000
Ta 2.417 0.000 0.000
Ga 2.417 2.417 1.867
N 0.000 0.000 1.867



(9)
8
Lattice="4.813 -5.154 0.000 4.813 5.154 0.000 -2.898 0.000 5.773" Properties=species:S:1:pos:R:3 comment="PBE Tl2TcCl5, optimized geometry" e_form_raw_mev_per_atom=-757 polymorph_energy_ev_per_atom=0.0000 pbc="T T T"
Tl 4.813 2.670 0.000
Tl 4.813 -2.670 0.000
Tc -0.003 0.000 3.246
Cl -1.052 0.000 5.640
Cl 4.792 2.774 3.231
Cl 2.245 0.000 4.025
Cl 7.913 0.000 1.577
Cl 4.792 -2.774 3.231



(10)
5
Lattice="4.273 -1.801 0.000 4.273 1.801 0.000 -0.665 0.000 5.036" Properties=species:S:1:pos:R:3 comment="PBE MnSnPHS, optimized geometry" polymorph_energy_ev_per_atom=0.0603 pbc="T T T"
Mn 0.000 0.000 0.000
Sn 2.443 0.000 1.157
P 4.573 0.000 4.400
H 0.254 0.000 1.589
S 6.417 0.000 3.270



(11)
4
Lattice="5.126 0.000 0.000 0.000 3.677 0.000 -0.187 0.000 5.149" Properties=species:S:1:pos:R:3 comment="PBE CuPtBr2, optimized geometry" e_form_raw_mev_per_atom=293 polymorph_energy_ev_per_atom=0.2494 pbc="T T T"
Cu 0.000 0.000 0.000
Pt 2.469 0.000 2.574
Br 1.231 1.838 1.283
Br 3.708 1.838 3.865



(12)
8
Lattice="7.114 0.000 0.000 0.000 4.112 0.000 -2.374 0.000 6.828" Properties=species:S:1:pos:R:3 comment="PBE LiLaDy2Se4, optimized geometry" e_form_raw_mev_per_atom=-1781 pbc="T T T"
Li 0.000 0.000 0.000
La 3.557 2.056 0.000
Dy -1.187 2.056 3.414
Dy 2.370 0.000 3.414
Se -0.080 0.000 5.060
Se 1.126 2.056 1.737
Se 3.614 2.056 5.091
Se 4.820 0.000 1.768



(13)
8
Lattice="-2.006 2.006 9.597 2.006 -2.006 9.597 2.006 2.006 -9.597" Properties=species:S:1:pos:R:3 comment="PBE NbV2Bi, optimized geometry" formation_energy_ev_per_atom=0.82 pbc="T T T"
Nb 0.000 0.000 0.000
Nb 0.000 2.006 4.799
V 1.003 -0.994 7.198
V 1.012 1.003 2.399
V 1.003 2.999 -2.399
V 0.994 1.003 11.997
Bi 2.006 0.000 4.799
Bi 0.000 0.000 9.597



(14)
6
Lattice="0.000 4.396 4.396 4.396 0.000 4.396 4.396 4.396 0.000" Properties=species:S:1:pos:R:3 comment="PBE MnTe4Ru, optimized geometry" e_form_raw_mev_per_atom=1229 pbc="T T T"
Mn 0.000 0.000 0.000
Te 3.300 3.300 3.300
Te 5.493 5.493 3.300
Te 5.493 3.300 5.493
Te 3.300 5.493 5.493
Ru 6.594 6.594 6.594



(15)
12
Lattice="4.190 -2.231 0.000 4.190 2.231 0.000 -2.493 0.000 5.941" Properties=species:S:1:pos:R:3 comment="PBE LaInH8Ru2, optimized geometry" e_tot_ev_per_fu=-55.7 pbc="T T T"
La 0.000 0.000 0.000
In 2.944 0.000 2.971
H 2.153 1.146 1.029
H 0.772 0.000 2.264
H 1.476 0.000 4.924
H 3.734 1.146 4.912
H 2.153 -1.146 1.029
H 4.412 0.000 1.018
H 5.116 0.000 3.677
H 3.734 -1.146 4.912
Ru 0.200 0.000 3.830
Ru 5.687 0.000 2.111



(16)
6
Lattice="4.535 0.000 0.000 -2.267 3.927 0.000 0.000 0.000 7.700" Properties=species:S:1:pos:R:3 comment="PBE Li2LaNdGe2, optimized geometry" formation_energy_ev_per_atom=-0.67 pbc="T T T"
Li 0.000 2.618 1.784
Li 2.267 1.309 5.916
La 0.000 0.000 3.850
Nd 0.000 0.000 0.000
Ge 0.000 2.618 5.828
Ge 2.267 1.309 1.872



(17)
4
Lattice="3.124 0.000 0.000 0.000 1.721 5.468 0.000 -1.721 5.468" Properties=species:S:1:pos:R:3 comment="PBE ZrMo2C, optimized geometry" formation_energy_ev_per_atom=-0.01 pbc="T T T"
Zr 0.000 0.000 0.000
Mo 0.000 0.000 3.190
Mo 1.562 0.000 7.307
C 1.562 0.000 5.009



(18)
4
Lattice="4.175 0.000 0.000 -2.084 3.807 0.000 -0.016 -0.255 5.564" Properties=species:S:1:pos:R:3 comment="PBE SnIrPtI, optimized geometry" e_form_raw_mev_per_atom=115 polymorph_energy_ev_per_atom=0.0764 pbc="T T T"
Sn 0.000 0.000 0.000
Ir 2.072 1.148 4.423
Pt 2.087 0.806 1.528
I -0.013 2.345 3.013



(19)
5
Lattice="5.836 0.000 0.000 0.000 5.836 0.000 0.000 0.000 6.123" Properties=species:S:1:pos:R:3 comment="PBE RbPPbCl2, optimized geometry" e_form_raw_mev_per_atom=176 polymorph_energy_ev_per_atom=0.7314 pbc="T T T"
Rb 0.000 0.000 0.000
P 0.000 0.000 3.061
Pb 2.918 2.918 3.061
Cl 0.000 2.918 0.000
Cl 2.918 0.000 0.000



(20)
5
Lattice="5.253 0.000 0.000 0.000 5.253 0.000 0.000 0.000 5.253" Properties=species:S:1:pos:R:3 comment="PBE PmTm3S, optimized geometry" e_form_raw_mev_per_atom=-620 pbc="T T T"
Pm 0.000 0.000 0.000
Tm 0.000 2.627 2.627
Tm 2.627 0.000 2.627
Tm 2.627 2.627 0.000
S 2.627 2.627 2.627



Number 1: total magnetization 0.00 μB/f.u.. Number 2: total magnetization 0.00 μB/f.u.. Number 3: total magnetization 0.00 μB/f.u.. Number 4: total magnetization 0.00 μB/f.u.. Number 5: total magnetization 0.00 μB/f.u.. Number 6: total magnetization 0.00 μB/f.u.. Number 7: total magnetization 0.00 μB/f.u.. Number 8: total magnetization 0.00 μB/f.u.. Number 9: total magnetization 4.00 μB/f.u.. Number 10: total magnetization 0.00 μB/f.u.. Number 11: total magnetization 0.00 μB/f.u.. Number 12: total magnetization 0.00 μB/f.u.. Number 13: total magnetization 0.00 μB/f.u.. Number 14: total magnetization 7.65 μB/f.u.. Number 15: total magnetization 0.00 μB/f.u.. Number 16: total magnetization 0.00 μB/f.u.. Number 17: total magnetization 0.00 μB/f.u.. Number 18: total magnetization 0.00 μB/f.u.. Number 19: total magnetization 2.00 μB/f.u.. Number 20: total magnetization 1.01 μB/f.u..